Density functional theory data (PBE-GGA) for an optimized crystal structure of AlPtO2F.

The space group is P4/mmm (No. 123) and the conventional cell measures 3.916, 3.916 and 4.661 Å, with angles of 90.00, 90.00 and 90.00 degrees. Symmetry generates all atoms from Al at (0.000, 0.000, 0.000), Pt at (0.500, 0.500, 0.500), O at (0.000, 0.500, 0.500) and F at (0.500, 0.500, 0.000).

For the uncorrected formation energy, the calculation gives -0.34 eV per atom. For the magnetic moment, the calculation gives 0.03 μB/f.u. The electronic total energy is -4.652 eV per atom.

***

Density functional theory data (PBE-GGA) for an optimized crystal structure of LiScAlZn6.

The space group is Imma (No. 74) and the conventional cell measures 6.798, 8.901 and 10.729 Å, with angles of 90.00, 90.00 and 90.00 degrees. Symmetry generates all atoms from Li at (0.250, 0.250, 0.250), Sc at (0.000, 0.250, 0.699), Al at (0.000, 0.000, 0.500), Zn at (0.000, 0.250, 0.021), Zn at (0.000, 0.250, 0.422) and Zn at (0.185, 0.033, 0.869).

The energy of formation is 0.01 eV/atom. For the magnetic moment, the calculation gives 0.00 μB/f.u. The electronic total energy is -2.170 eV per atom.

***

Copy entry 2 word for word.
Density functional theory data (PBE-GGA) for an optimized crystal structure of LiScAlZn6.

The space group is Imma (No. 74) and the conventional cell measures 6.798, 8.901 and 10.729 Å, with angles of 90.00, 90.00 and 90.00 degrees. Symmetry generates all atoms from Li at (0.250, 0.250, 0.250), Sc at (0.000, 0.250, 0.699), Al at (0.000, 0.000, 0.500), Zn at (0.000, 0.250, 0.021), Zn at (0.000, 0.250, 0.422) and Zn at (0.185, 0.033, 0.869).

The energy of formation is 0.01 eV/atom. For the magnetic moment, the calculation gives 0.00 μB/f.u. The electronic total energy is -2.170 eV per atom.